No. 1
# CsSrCr2Br8

Crystalline CsSrCr2Br8 at its relaxed geometry (PBE, Alexandria via LeMat-Bulk).

Computed properties:
DFT total energy: -4.052 eV/atom
Total moment: 7.0 μB per cell

Unit cell a=7.2262 b=7.2262 c=10.9351 alpha=70.71 beta=70.71 gamma=60.00
Last column: nearest neighbours and their distance in Å.
Atoms (fractional coordinates):
Cs (0.5000, 0.5000, 0.5000)  12 Br 3.99-4.18
Sr (0.0000, 0.0000, 0.0000)  6 Br 3.09
Cr (0.2549, 0.2549, 0.2354)  4 Br 2.36-2.47
Cr (0.7451, 0.7451, 0.7646)  4 Br 2.36-2.47
Br (0.1770, 0.1770, 0.4691)  1 Cr 2.36
Br (0.5977, 0.2889, 0.1799)  1 Cr 2.47
Br (0.8230, 0.8230, 0.5309)  1 Cr 2.36
Br (0.9335, 0.5977, 0.1799)  1 Cr 2.47
Br (0.0665, 0.4023, 0.8201)  1 Cr 2.47
Br (0.2889, 0.9335, 0.1799)  1 Cr 2.47
Br (0.7111, 0.0665, 0.8201)  1 Cr 2.47
Br (0.4023, 0.7111, 0.8201)  1 Cr 2.47

***

No. 2
# LiPuGa2

Crystalline LiPuGa2 at its relaxed geometry (PBE, Alexandria via LeMat-Bulk).

Computed properties:
DFT total energy: -5.652 eV/atom
Total moment: 0.0 μB per cell
Formation enthalpy at 0 K: -0.08 eV per atom

Unit cell a=2.5957 b=2.5957 c=9.3889 alpha=90.00 beta=90.00 gamma=90.00
Last column: nearest neighbours and their distance in Å.
Atoms (fractional coordinates):
Li (0.5000, 0.5000, 0.0000)  4 Li 2.60, 8 Ga 2.84
Ga (0.0000, 0.0000, 0.7694)  4 Ga 2.60, 4 Li 2.84
Ga (0.0000, 0.0000, 0.2306)  4 Ga 2.60, 4 Li 2.84
Pu (0.5000, 0.5000, 0.5000)  4 Pu 2.60

***

No. 3
# MnTlHg

Crystalline MnTlHg at its relaxed geometry (PBE, Alexandria via LeMat-Bulk).

Computed properties:
DFT total energy: -3.533 eV/atom
Total moment: 4.0 μB per cell
Formation enthalpy at 0 K: 0.41 eV per atom

Unit cell a=7.4514 b=7.1891 c=3.2508 alpha=81.73 beta=72.70 gamma=25.58
Last column: nearest neighbours and their distance in Å.
Atoms (fractional coordinates):
Hg (0.9874, 0.9874, 0.0126)  2 Mn 2.78
Mn (0.3374, 0.3374, 0.6626)  2 Hg 2.78, 2 Tl 2.91
Tl (0.6752, 0.6752, 0.3248)  2 Mn 2.91, 2 Hg 3.19, 4 Tl 3.25

***

No. 4
# Nd3GaPt

Crystalline Nd3GaPt at its relaxed geometry (PBE, Alexandria via LeMat-Bulk).

Computed properties:
DFT total energy: -5.314 eV/atom
Total moment: 0.0 μB per cell
Formation enthalpy at 0 K: -0.64 eV per atom

Unit cell a=4.0172 b=8.7060 c=8.3599 alpha=102.34 beta=89.99 gamma=89.98
Last column: nearest neighbours and their distance in Å.
Atoms (fractional coordinates):
Nd (0.5434, 0.9008, 0.6592)  4 Ga 3.05-3.18, 1 Pt 3.24
Nd (0.5431, 0.3153, 0.9426)  3 Pt 2.98-3.09, 2 Ga 3.11
Nd (0.0429, 0.2921, 0.5679)  3 Pt 2.98-3.07
Nd (0.0427, 0.6878, 0.9478)  2 Pt 2.96, 1 Ga 3.11
Nd (0.5429, 0.5588, 0.3489)  3 Pt 3.00, 2 Ga 3.20-3.21
Nd (0.5432, 0.0498, 0.2199)  4 Ga 3.05-3.17, 2 Pt 3.06
Ga (0.0434, 0.8475, 0.3576)  7 Nd 3.05-3.41
Ga (0.0437, 0.0393, 0.9251)  1 Pt 2.96, 7 Nd 3.05-3.17
Pt (0.5427, 0.5397, 0.7024)  7 Nd 2.96-3.24
Pt (0.0431, 0.3122, 0.2054)  1 Ga 2.96, 7 Nd 2.98-3.07